VASP calculation (PBE) on a relaxed structure of Tl2AgBr.

Output
V   30.5 Å³ per atom
M_tot   0.00 Bohr magnetons per cell
Offset from the most stable computed form   0.47 kcal/mol of atoms

The structure in CIF format:
```
data_Tl2AgBr
_chemical_formula_sum 'Tl4 Ag2 Br2'
_space_group_name_H-M_alt 'C 1 m 1'
_space_group_IT_number 8
_cell_length_a 12.362
_cell_length_b 4.070
_cell_length_c 4.852
_cell_angle_alpha 90.00
_cell_angle_beta 90.18
_cell_angle_gamma 90.00
loop_
_space_group_symop_operation_xyz
'x,y,z'
'x,-y,z'
'x+1/2,y+1/2,z'
'x+1/2,-y+1/2,z'
loop_
_atom_site_label
_atom_site_type_symbol
_atom_site_fract_x
_atom_site_fract_y
_atom_site_fract_z
Tl1 Tl 0.000 0.000 0.000
Tl2 Tl 0.238 0.500 0.502
Ag1 Ag 0.493 0.000 0.500
Br1 Br 0.256 0.000 0.002
```